[1]
DFT (PBE) results for crystalline AcInBi2Pd2 at its relaxed geometry.

- calculated formation energy (eV/atom) = -0.282
- crystal system = tetragonal
- space group = No. 139

POSCAR file:
```
AcInBi2Pd2
1.0
5.649 0.000 0.000
0.000 5.649 0.000
0.000 0.000 11.161
Ac In Bi Pd
2 2 4 4
direct
0.000 0.000 0.000
0.500 0.500 0.500
0.000 0.000 0.500
0.500 0.500 0.000
0.000 0.500 0.250
0.000 0.500 0.750
0.500 0.000 0.250
0.500 0.000 0.750
0.000 0.000 0.264
0.000 0.000 0.736
0.500 0.500 0.236
0.500 0.500 0.764
```

---

[2]
DFT (PBE) results for crystalline AcInBiPt at its relaxed geometry.

- calculated formation energy (eV/atom) = -0.441
- crystal system = cubic
- space group = No. 216

POSCAR file:
```
AcInBiPt
1.0
7.583 0.000 0.000
0.000 7.583 0.000
0.000 0.000 7.583
Ac In Bi Pt
4 4 4 4
direct
0.000 0.000 0.000
0.000 0.500 0.500
0.500 0.000 0.500
0.500 0.500 0.000
0.250 0.250 0.250
0.250 0.750 0.750
0.750 0.250 0.750
0.750 0.750 0.250
0.000 0.000 0.500
0.000 0.500 0.000
0.500 0.000 0.000
0.500 0.500 0.500
0.250 0.250 0.750
0.250 0.750 0.250
0.750 0.250 0.250
0.750 0.750 0.750
```

---

[3]
DFT (PBE) results for crystalline AcInBiSb at its relaxed geometry.

- crystal system = cubic
- space group = No. 216
- uncorrected formation energy (meV per atom) = -356.7

POSCAR file:
```
AcInBiSb
1.0
8.064 0.000 0.000
0.000 8.064 0.000
0.000 0.000 8.064
Ac In Bi Sb
4 4 4 4
direct
0.000 0.000 0.000
0.000 0.500 0.500
0.500 0.000 0.500
0.500 0.500 0.000
0.000 0.000 0.500
0.000 0.500 0.000
0.500 0.000 0.000
0.500 0.500 0.500
0.250 0.250 0.750
0.250 0.750 0.250
0.750 0.250 0.250
0.750 0.750 0.750
0.250 0.250 0.250
0.250 0.750 0.750
0.750 0.250 0.750
0.750 0.750 0.250
```

---

[4]
DFT (PBE) results for crystalline AcInBiSe at its relaxed geometry.

- crystal system = tetragonal
- space group = No. 129
- uncorrected formation energy (meV per atom) = -916.6

POSCAR file:
```
AcInBiSe
1.0
5.358 0.000 0.000
0.000 5.358 0.000
0.000 0.000 8.935
Ac In Bi Se
2 2 2 2
direct
0.250 0.250 0.172
0.750 0.750 0.828
0.250 0.750 0.500
0.750 0.250 0.500
0.250 0.250 0.680
0.750 0.750 0.320
0.250 0.750 0.000
0.750 0.250 0.000
```

---

[5]
DFT (PBE) results for crystalline AcInBiSe at its relaxed geometry.

- crystal system = cubic
- space group = No. 216
- uncorrected formation energy (meV per atom) = -682.5

POSCAR file:
```
AcInBiSe
1.0
7.881 0.000 0.000
0.000 7.881 0.000
0.000 0.000 7.881
Ac In Bi Se
4 4 4 4
direct
0.000 0.000 0.000
0.000 0.500 0.500
0.500 0.000 0.500
0.500 0.500 0.000
0.000 0.000 0.500
0.000 0.500 0.000
0.500 0.000 0.000
0.500 0.500 0.500
0.250 0.250 0.750
0.250 0.750 0.250
0.750 0.250 0.250
0.750 0.750 0.750
0.250 0.250 0.250
0.250 0.750 0.750
0.750 0.250 0.750
0.750 0.750 0.250
```

---

[6]
DFT (PBE) results for crystalline AcInSnBi at its relaxed geometry.

- calculated formation energy (eV/atom) = -0.493
- crystal system = orthorhombic
- space group = No. 47

POSCAR file:
```
AcInSnBi
1.0
4.916 0.000 0.000
0.000 5.011 0.000
0.000 0.000 5.051
Ac In Sn Bi
1 1 1 1
direct
0.000 0.000 0.000
0.000 0.500 0.500
0.500 0.000 0.500
0.500 0.500 0.000
```

---

[7]
DFT (PBE) results for crystalline AcInSnBi at its relaxed geometry.

- calculated formation energy (eV/atom) = -0.262
- crystal system = cubic
- space group = No. 216

POSCAR file:
```
AcInSnBi
1.0
8.012 0.000 0.000
0.000 8.012 0.000
0.000 0.000 8.012
Ac In Sn Bi
4 4 4 4
direct
0.000 0.000 0.000
0.000 0.500 0.500
0.500 0.000 0.500
0.500 0.500 0.000
0.250 0.250 0.750
0.250 0.750 0.250
0.750 0.250 0.250
0.750 0.750 0.750
0.250 0.250 0.250
0.250 0.750 0.750
0.750 0.250 0.750
0.750 0.750 0.250
0.000 0.000 0.500
0.000 0.500 0.000
0.500 0.000 0.000
0.500 0.500 0.500
```

---

[8]
DFT (PBE) results for crystalline AcTlInBi at its relaxed geometry.

- calculated formation energy (eV/atom) = -0.455
- crystal system = orthorhombic
- space group = No. 47

POSCAR file:
```
AcTlInBi
1.0
4.898 0.000 0.000
0.000 5.070 0.000
0.000 0.000 5.119
Ac Tl In Bi
1 1 1 1
direct
0.000 0.000 0.000
0.500 0.000 0.500
0.000 0.500 0.500
0.500 0.500 0.000
```

---

[9]
DFT (PBE) results for crystalline AcTlInBi at its relaxed geometry.

- calculated formation energy (eV/atom) = -0.280
- crystal system = cubic
- space group = No. 216

POSCAR file:
```
AcTlInBi
1.0
8.061 0.000 0.000
0.000 8.061 0.000
0.000 0.000 8.061
Ac Tl In Bi
4 4 4 4
direct
0.000 0.000 0.000
0.000 0.500 0.500
0.500 0.000 0.500
0.500 0.500 0.000
0.250 0.250 0.250
0.250 0.750 0.750
0.750 0.250 0.750
0.750 0.750 0.250
0.000 0.000 0.500
0.000 0.500 0.000
0.500 0.000 0.000
0.500 0.500 0.500
0.250 0.250 0.750
0.250 0.750 0.250
0.750 0.250 0.250
0.750 0.750 0.750
```

---

[10]
DFT (PBE) results for crystalline AcTl2InBi2 at its relaxed geometry.

- calculated formation energy (eV/atom) = -0.277
- crystal system = orthorhombic
- space group = No. 26

POSCAR file:
```
AcTl2InBi2
1.0
4.848 0.000 0.000
0.000 11.003 0.000
0.000 0.000 7.839
Ac Tl In Bi
2 4 2 4
direct
0.000 0.111 0.000
0.000 0.889 0.500
0.000 0.317 0.353
0.000 0.683 0.853
0.500 0.439 0.061
0.500 0.561 0.561
0.500 0.202 0.675
0.500 0.798 0.175
0.000 0.376 0.753
0.000 0.624 0.253
0.500 0.078 0.314
0.500 0.922 0.814
```

---

[11]
DFT (PBE) results for crystalline AcTmInBi at its relaxed geometry.

- calculated formation energy (eV/atom) = -0.418
- crystal system = cubic
- space group = No. 216

POSCAR file:
```
AcTmInBi
1.0
7.977 0.000 0.000
0.000 7.977 0.000
0.000 0.000 7.977
Ac Tm In Bi
4 4 4 4
direct
0.000 0.000 0.000
0.000 0.500 0.500
0.500 0.000 0.500
0.500 0.500 0.000
0.000 0.000 0.500
0.000 0.500 0.000
0.500 0.000 0.000
0.500 0.500 0.500
0.250 0.250 0.250
0.250 0.750 0.750
0.750 0.250 0.750
0.750 0.750 0.250
0.250 0.250 0.750
0.250 0.750 0.250
0.750 0.250 0.250
0.750 0.750 0.750
```

---

[12]
DFT (PBE) results for crystalline AcZnInBi at its relaxed geometry.

- calculated formation energy (eV/atom) = -0.222
- crystal system = cubic
- space group = No. 216

POSCAR file:
```
AcZnInBi
1.0
7.804 0.000 0.000
0.000 7.804 0.000
0.000 0.000 7.804
Ac Zn In Bi
4 4 4 4
direct
0.000 0.000 0.000
0.000 0.500 0.500
0.500 0.000 0.500
0.500 0.500 0.000
0.250 0.250 0.750
0.250 0.750 0.250
0.750 0.250 0.250
0.750 0.750 0.750
0.250 0.250 0.250
0.250 0.750 0.750
0.750 0.250 0.750
0.750 0.750 0.250
0.000 0.000 0.500
0.000 0.500 0.000
0.500 0.000 0.000
0.500 0.500 0.500
```

---

| no. | E (eV/atom) | magnetic moment (μB per formula unit) |
| --- | --- | --- |
| 1 | -4.45 | 0.00 |
| 2 | -4.63 | 0.00 |
| 3 | -4.07 | 0.00 |
| 4 | -4.47 | 0.00 |
| 5 | -4.24 | 0.00 |
| 6 | -4.18 | 0.00 |
| 7 | -3.94 | 0.00 |
| 8 | -3.73 | 0.00 |
| 9 | -3.55 | 0.00 |
| 10 | -3.50 | 0.00 |
| 11 | -4.22 | 0.00 |
| 12 | -3.22 | 0.00 |